This record from Alexandria via LeMat-Bulk describes a geometry-optimized Rb2Hf2Sc structure. The functional is GGA-PBE.

Spin magnetization in μB per formula unit: 0.82
Electronic total energy in eV/atom: -3.892
Fermi-level density of states in states/eV/f.u.: 8.4
Calculated volume in A^3/atom: 43.3

a = 6.4279 Å, b = 6.4279 Å, c = 5.2422 Å
α = 90.00°, β = 90.00°, γ = 90.00°
Last column: nearest neighbours and their distance in Å.
Sites, in units of the cell vectors:
1 Rb 0.0000 0.5000 0.0000  2 Hf 3.21
2 Rb 0.5000 0.0000 0.0000  2 Hf 3.21
3 Hf 0.0000 0.0000 0.0000  2 Hf 2.62
4 Hf 0.0000 0.0000 0.5000  2 Hf 2.62
5 Sc 0.5000 0.5000 0.5000  8 Rb 4.15, 4 Hf 4.55

This record from Alexandria via LeMat-Bulk describes a geometry-optimized Ta2Bi5O12 structure. The functional is GGA-PBE.

Spin magnetization in μB per formula unit: 0.00
Electronic total energy in eV/atom: -7.148
E_form (uncorrected) in eV per atom: -1.747
Fermi-level density of states in states/eV/f.u.: 3.4
Calculated volume in A^3/atom: 15.2

a = 7.1473 Å, b = 7.1473 Å, c = 7.7325 Å
α = 105.67°, β = 105.67°, γ = 50.08°
Last column: nearest neighbours and their distance in Å.
Sites, in units of the cell vectors:
1 Ta 0.2392 0.7608 0.0000  6 O 1.98-2.11
2 Ta 0.7608 0.2392 0.0000  6 O 1.98-2.11
3 Bi 0.0000 0.0000 0.5000  6 O 2.43-2.44
4 Bi 0.3033 0.3033 0.6410  7 O 2.38-2.54
5 Bi 0.3069 0.3069 0.1739  7 O 2.37-2.62
6 Bi 0.6931 0.6931 0.8261  7 O 2.37-2.62
7 Bi 0.6967 0.6967 0.3590  7 O 2.38-2.54
8 O 0.0020 0.0020 0.8156  2 Ta 2.04
9 O 0.0954 0.5951 0.4216  4 Bi 2.37-2.45
10 O 0.0991 0.5808 0.9140  1 Ta 1.98
11 O 0.4049 0.9046 0.5784  4 Bi 2.37-2.45
12 O 0.4192 0.9009 0.0860  1 Ta 1.98
13 O 0.4971 0.4971 0.1806  2 Ta 2.11
14 O 0.5029 0.5029 0.8194  2 Ta 2.11
15 O 0.5808 0.0991 0.9140  1 Ta 1.98
16 O 0.5951 0.0954 0.4216  4 Bi 2.37-2.45
17 O 0.9009 0.4192 0.0860  1 Ta 1.98
18 O 0.9046 0.4049 0.5784  4 Bi 2.37-2.45
19 O 0.9980 0.9980 0.1844  2 Ta 2.04

This record from Alexandria via LeMat-Bulk describes a geometry-optimized Rb2BeCdTc structure. The functional is GGA-PBE.

Spin magnetization in μB per formula unit: 3.76
Electronic total energy in eV/atom: -1.965
Fermi-level density of states in states/eV/f.u.: 6.2
Calculated volume in A^3/atom: 42.8

a = 6.7769 Å, b = 6.7769 Å, c = 4.6562 Å
α = 90.00°, β = 90.00°, γ = 90.00°
Last column: nearest neighbours and their distance in Å.
Sites, in units of the cell vectors:
1 Rb 0.0000 0.5000 0.0000  2 Cd 3.39
2 Rb 0.5000 0.0000 0.0000  2 Cd 3.39
3 Be 0.0000 0.0000 0.5000  2 Cd 2.33
4 Cd 0.0000 0.0000 0.0000  2 Be 2.33
5 Tc 0.5000 0.5000 0.5000  8 Rb 4.11

This record from Alexandria via LeMat-Bulk describes a geometry-optimized Tb3Nd6Tm structure. The functional is GGA-PBE.

Spin magnetization in μB per formula unit: 0.00
Electronic total energy in eV/atom: -4.483
Fermi-level density of states in states/eV/f.u.: 15.0
Calculated volume in A^3/atom: 35.0
ΔE to the lowest computed polymorph in eV/f.u.: 0.75

a = 5.4760 Å, b = 10.3870 Å, c = 12.5022 Å
α = 90.00°, β = 99.99°, γ = 90.00°
Last column: nearest neighbours and their distance in Å.
Sites, in units of the cell vectors:
1 Tb 0.0000 0.0000 0.0000  6 Nd 3.29-3.38
2 Tb 0.0000 0.5000 0.5000  6 Nd 3.29-3.38
3 Tb 0.0743 0.1675 0.6360  7 Nd 3.44-3.75, 2 Tm 3.57-3.74, 1 Tb 3.84
4 Tb 0.0743 0.3325 0.1360  7 Nd 3.44-3.75, 2 Tm 3.57-3.74, 1 Tb 3.84
5 Tb 0.9257 0.6675 0.8640  7 Nd 3.44-3.75, 2 Tm 3.57-3.74, 1 Tb 3.84
6 Tb 0.9257 0.8325 0.3640  7 Nd 3.44-3.75, 2 Tm 3.57-3.74, 1 Tb 3.84
7 Nd 0.0746 0.6702 0.1432  4 Tb 3.44-3.85, 4 Nd 3.51-3.75, 2 Tm 3.63-3.78
8 Nd 0.0746 0.8298 0.6432  4 Tb 3.44-3.85, 4 Nd 3.51-3.75, 2 Tm 3.63-3.78
9 Nd 0.4016 0.5039 0.7290  2 Tb 3.29-3.51, 1 Tm 3.34, 3 Nd 3.53-3.60
10 Nd 0.4016 0.9961 0.2290  2 Tb 3.29-3.51, 1 Tm 3.34, 3 Nd 3.53-3.60
11 Nd 0.4946 0.6881 0.4960  1 Tm 3.24, 4 Tb 3.35-3.59, 3 Nd 3.51-3.60
12 Nd 0.4946 0.8119 0.9960  1 Tm 3.24, 4 Tb 3.35-3.59, 3 Nd 3.51-3.60
13 Nd 0.5054 0.1881 0.0040  1 Tm 3.24, 4 Tb 3.35-3.59, 3 Nd 3.51-3.60
14 Nd 0.5054 0.3119 0.5040  1 Tm 3.24, 4 Tb 3.35-3.59, 3 Nd 3.51-3.60
15 Nd 0.5984 0.0039 0.7710  2 Tb 3.29-3.51, 1 Tm 3.34, 3 Nd 3.53-3.60
16 Nd 0.5984 0.4961 0.2710  2 Tb 3.29-3.51, 1 Tm 3.34, 3 Nd 3.53-3.60
17 Nd 0.9254 0.1702 0.3568  4 Tb 3.44-3.85, 4 Nd 3.51-3.75, 2 Tm 3.63-3.78
18 Nd 0.9254 0.3298 0.8568  4 Tb 3.44-3.85, 4 Nd 3.51-3.75, 2 Tm 3.63-3.78
19 Tm 0.5000 0.0000 0.5000  4 Nd 3.24-3.34, 2 Tb 3.57
20 Tm 0.5000 0.5000 0.0000  4 Nd 3.24-3.34, 2 Tb 3.57

This record from Alexandria via LeMat-Bulk describes a geometry-optimized YBe2TlHg structure. The functional is GGA-PBE.

Spin magnetization in μB per formula unit: 0.00
Electronic total energy in eV/atom: -2.820
Fermi-level density of states in states/eV/f.u.: 3.3
Calculated volume in A^3/atom: 23.8

a = 4.5631 Å, b = 4.5631 Å, c = 5.7245 Å
α = 90.00°, β = 90.00°, γ = 90.00°
Last column: nearest neighbours and their distance in Å.
Sites, in units of the cell vectors:
1 Y 0.0000 0.0000 0.0000  2 Hg 2.86
2 Be 0.0000 0.5000 0.5000  2 Hg 2.28
3 Be 0.5000 0.0000 0.5000  2 Hg 2.28
4 Tl 0.5000 0.5000 0.0000  4 Y 3.23
5 Hg 0.0000 0.0000 0.5000  4 Be 2.28

This record from Alexandria via LeMat-Bulk describes a geometry-optimized CdReSeN2 structure. The functional is GGA-PBE.

Spin magnetization in μB per formula unit: 0.00
Electronic total energy in eV/atom: -4.036
E_form (uncorrected) in eV per atom: 2.663
Fermi-level density of states in states/eV/f.u.: 8.1
Calculated volume in A^3/atom: 16.8
ΔE to the lowest computed polymorph in eV/f.u.: 11.70

a = 4.0347 Å, b = 4.0347 Å, c = 5.1717 Å
α = 90.00°, β = 90.00°, γ = 90.00°
Last column: nearest neighbours and their distance in Å.
Sites, in units of the cell vectors:
1 Cd 0.0000 0.0000 0.0000  4 N 2.02
2 Re 0.5000 0.5000 0.5000  4 Se 2.85
3 Se 0.0000 0.0000 0.5000  2 Cd 2.59, 4 Re 2.85
4 N 0.0000 0.5000 0.0000  2 Cd 2.02
5 N 0.5000 0.0000 0.0000  2 Cd 2.02

This record from Alexandria via LeMat-Bulk describes a geometry-optimized Ac3ZnSn2Au6 structure. The functional is GGA-PBE.

Spin magnetization in μB per formula unit: 0.00
Electronic total energy in eV/atom: -4.015
Fermi-level density of states in states/eV/f.u.: 5.6
Calculated volume in A^3/atom: 26.4

a = 6.4594 Å, b = 6.4594 Å, c = 8.7740 Å
α = 90.00°, β = 90.00°, γ = 120.00°
Last column: nearest neighbours and their distance in Å.
Sites, in units of the cell vectors:
1 Ac 0.0000 0.0000 0.0000  6 Au 3.27
2 Ac 0.3333 0.6667 0.6360  9 Au 3.28-3.45, 1 Sn 3.63
3 Ac 0.6667 0.3333 0.3640  9 Au 3.28-3.45, 1 Sn 3.63
4 Zn 0.0000 0.0000 0.5000  6 Au 2.63
5 Sn 0.3333 0.6667 0.0495  3 Au 2.82
6 Sn 0.6667 0.3333 0.9505  3 Au 2.82
7 Au 0.1743 0.3485 0.2991  1 Zn 2.63, 1 Sn 2.82
8 Au 0.1743 0.8257 0.2991  1 Zn 2.63, 1 Sn 2.82
9 Au 0.3485 0.1743 0.7009  1 Zn 2.63, 1 Sn 2.82
10 Au 0.6515 0.8257 0.2991  1 Zn 2.63, 1 Sn 2.82
11 Au 0.8257 0.1743 0.7009  1 Zn 2.63, 1 Sn 2.82
12 Au 0.8257 0.6515 0.7009  1 Zn 2.63, 1 Sn 2.82

This record from Alexandria via LeMat-Bulk describes a geometry-optimized NdHo3Sc3 structure. The functional is GGA-PBE.

Spin magnetization in μB per formula unit: 0.00
Electronic total energy in eV/atom: -5.080
Fermi-level density of states in states/eV/f.u.: 11.6
Calculated volume in A^3/atom: 30.2
ΔE to the lowest computed polymorph in eV/f.u.: 0.64

a = 6.4449 Å, b = 6.4449 Å, c = 6.4449 Å
α = 108.78°, β = 108.78°, γ = 108.78°
Last column: nearest neighbours and their distance in Å.
Sites, in units of the cell vectors:
1 Nd 0.0000 0.0000 0.0000  6 Sc 3.08-3.37, 3 Ho 3.43
2 Ho 0.0720 0.4877 0.4877  6 Sc 3.17-3.49, 1 Nd 3.43
3 Ho 0.4877 0.0720 0.4877  6 Sc 3.17-3.49, 1 Nd 3.43
4 Ho 0.4877 0.4877 0.0720  6 Sc 3.17-3.49, 1 Nd 3.43
5 Sc 0.5130 0.9858 0.9858  2 Nd 3.08-3.37, 5 Ho 3.17-3.39
6 Sc 0.9858 0.5130 0.9858  2 Nd 3.08-3.37, 5 Ho 3.17-3.39
7 Sc 0.9858 0.9858 0.5130  2 Nd 3.08-3.37, 5 Ho 3.17-3.39

> Which value of spin magnetization does entry 5 give?

0.00 μB per formula unit